A plane-wave DFT calculation with PBE was carried out for a relaxed La4PmPr5 crystal.

a b c (Å): 6.159 10.779 10.779
angles (deg): 90.00 90.00 90.00
Atoms (fractional coordinates):
La1 0.369 0.201 0.500
La2 0.369 0.500 0.799
La3 0.631 0.701 0.000
La4 0.369 0.799 0.500
La5 0.631 0.000 0.299
La6 0.631 0.299 0.000
La7 0.631 0.000 0.701
La8 0.369 0.500 0.201
Pr1 0.844 0.660 0.340
Pr2 0.844 0.340 0.660
Pr3 0.000 0.500 0.000
Pr4 0.156 0.840 0.160
Pr5 0.000 0.000 0.500
Pr6 0.156 0.840 0.840
Pr7 0.844 0.660 0.660
Pr8 0.156 0.160 0.840
Pr9 0.156 0.160 0.160
Pr10 0.844 0.340 0.340
Pm1 0.328 0.500 0.500
Pm2 0.672 0.000 0.000

Output
Density (g/cm³): 6.52
V (A^3/atom): 35.78
Energy relative to the lowest polymorph listed for this composition (eV per formula unit): 0.00
Calculated formation energy (eV/atom): 0.134
Spin magnetization (Bohr magnetons per cell): 0.00